NdGeRu | Alexandria | PBE | relaxed; total DFT energy (no corrections) = -6.889 eV/atom; symmetry = P4/nmm (129); size of the total moment = 0.00 μB per formula unit; ΔE_f = -0.67 eV/atom
1.0
4.3167 0.0000 0.0000
0.0000 4.3167 0.0000
0.0000 0.0000 6.9056
Nd Ge Ru
2 2 2
Cartesian
1.0792 1.0792 1.2864
3.2376 3.2376 5.6193
1.0792 1.0792 4.7798
3.2376 3.2376 2.1258
1.0792 3.2376 3.4528
3.2376 1.0792 3.4528

---

TaTcHg2 | Alexandria | PBE | relaxed; total DFT energy (no corrections) = -5.335 eV/atom; symmetry = Imm2 (44); size of the total moment = 0.00 μB per formula unit; ΔE_f = 0.37 eV/atom
1.0
-1.6498 2.4421 4.7601
1.6498 -2.4421 4.7601
1.6498 2.4421 -4.7601
Ta Tc Hg
1 1 2
Cartesian
0.0000 0.0000 0.0000
1.6498 0.0000 1.8563
0.0000 0.0000 4.3656
0.0000 2.4421 2.1684

---

YTmAu | Alexandria | PBE | relaxed; total DFT energy (no corrections) = -5.204 eV/atom; symmetry = F-43m (216); size of the total moment = 0.00 μB per formula unit; ΔE_f = -0.47 eV/atom
1.0
0.0000 3.4968 3.4968
3.4968 0.0000 3.4968
3.4968 3.4968 0.0000
Y Tm Au
1 1 1
Cartesian
0.0000 0.0000 0.0000
3.4968 3.4968 3.4968
5.2452 5.2452 5.2452

---

ScSnS2N | Alexandria | PBE | relaxed; total DFT energy (no corrections) = -5.613 eV/atom; symmetry = P4/mmm (123); ΔE_f (raw) = -0.230 eV/atom; size of the total moment = 2.01 μB per formula unit
1.0
5.0460 0.0000 0.0000
0.0000 5.0460 0.0000
0.0000 0.0000 4.1602
Sc Sn S N
1 1 2 1
Cartesian
0.0000 0.0000 0.0000
2.5230 2.5230 2.0801
0.0000 2.5230 0.0000
2.5230 0.0000 0.0000
0.0000 0.0000 2.0801

---

ErNiB2 | Alexandria | PBE | relaxed; total DFT energy (no corrections) = -6.487 eV/atom; symmetry = Pnma (62); size of the total moment = 0.00 μB per formula unit; ΔE_f = -0.56 eV/atom
1.0
5.7649 0.0000 0.0000
0.0000 3.5132 0.0000
0.0000 0.0000 9.1570
Er Ni B
4 4 8
Cartesian
0.7539 0.8783 1.2090
2.1286 2.6349 5.7875
3.6363 0.8783 3.3695
5.0110 2.6349 7.9479
0.6706 0.8783 3.9903
2.2118 2.6349 8.5688
3.5531 0.8783 0.5881
5.0943 2.6349 5.1666
0.1661 0.8783 6.1504
1.3153 0.8783 7.6028
1.5672 2.6349 3.0244
2.7163 2.6349 1.5719
3.0486 0.8783 7.5850
4.1977 0.8783 6.1326
4.4496 2.6349 1.5541
5.5988 2.6349 3.0066

---

CaTcTeO6 | Alexandria | PBE | relaxed; total DFT energy (no corrections) = -6.671 eV/atom; symmetry = P-31c (163); ΔE_f (raw) = -1.642 eV/atom; size of the total moment = 0.97 μB per formula unit
1.0
5.3544 0.0000 0.0000
-2.6772 4.6370 0.0000
0.0000 0.0000 9.9808
Ca Tc Te O
2 2 2 12
Cartesian
0.0000 0.0000 0.0000
0.0000 0.0000 4.9904
0.0000 3.0914 2.4952
2.6772 1.5457 7.4856
0.0000 3.0914 7.4856
2.6772 1.5457 2.4952
-0.9272 1.7107 1.4229
-1.6593 2.9787 3.5675
0.9272 1.7107 3.5675
-0.7321 4.5847 1.4229
1.9451 0.0524 6.4133
1.0179 1.6584 8.5579
1.6593 2.9787 1.4229
0.7321 4.5847 3.5675
3.4093 0.0524 8.5579
1.7500 2.9263 6.4133
4.3365 1.6584 6.4133
3.6044 2.9263 8.5579

---

AcLaEuSn | Alexandria | PBE | relaxed; total DFT energy (no corrections) = -6.034 eV/atom; symmetry = F-43m (216); size of the total moment = 8.25 μB per formula unit; ΔE_f = -0.21 eV/atom
1.0
0.0000 4.0842 4.0842
4.0842 0.0000 4.0842
4.0842 4.0842 0.0000
Ac La Eu Sn
1 1 1 1
Cartesian
0.0000 0.0000 0.0000
6.1263 6.1263 6.1263
2.0421 2.0421 2.0421
4.0842 4.0842 4.0842

---

Cu8Ge2Pd | Alexandria | PBE | relaxed; total DFT energy (no corrections) = -4.212 eV/atom; symmetry = C2/m (12); size of the total moment = 0.00 μB per formula unit; ΔE_f = 0.08 eV/atom
1.0
3.3442 -5.8254 0.0000
3.3442 5.8254 0.0000
-1.9846 0.0000 3.8630
Cu Ge Pd
8 2 1
Cartesian
0.1103 1.2910 2.4732
3.3442 3.2898 0.0000
0.1103 -1.2910 2.4732
2.4052 0.0000 0.7497
2.2987 0.0000 3.1133
4.5936 1.2910 1.3898
3.3442 -3.2898 0.0000
4.5936 -1.2910 1.3898
2.3520 2.2220 1.9315
2.3520 -2.2220 1.9315
0.0000 0.0000 0.0000

---

YAl3Pd | Alexandria | PBE | relaxed; total DFT energy (no corrections) = -3.225 eV/atom; symmetry = Pm-3m (221); size of the total moment = 0.37 μB per formula unit; ΔE_f = 1.35 eV/atom
1.0
5.3978 0.0000 0.0000
0.0000 5.3978 0.0000
0.0000 0.0000 5.3978
Y Al Pd
1 3 1
Cartesian
0.0000 0.0000 0.0000
0.0000 0.0000 2.6989
0.0000 2.6989 0.0000
2.6989 0.0000 0.0000
2.6989 2.6989 2.6989

---

Yb3Pt4 | Alexandria | PBE | relaxed; total DFT energy (no corrections) = -5.038 eV/atom; symmetry = R-3 (148); size of the total moment = 1.01 μB per formula unit; ΔE_f = -0.93 eV/atom
1.0
6.6156 3.8195 1.9009
-6.6156 3.8195 1.9009
0.0000 -7.6390 1.9009
Yb Pt
6 8
Cartesian
-2.4717 -0.5286 1.3550
1.6936 -1.8762 1.3550
0.7781 2.4048 1.3550
-0.7781 -2.4048 4.3477
-1.6936 1.8762 4.3477
2.4717 0.5286 4.3477
0.0000 0.0000 0.0000
-1.0913 -3.1694 1.5904
-2.1991 2.5298 1.5904
-3.2904 -0.6396 4.1122
0.0000 0.0000 2.8513
3.2904 0.6396 1.5904
2.1991 -2.5298 4.1122
1.0913 3.1694 4.1122

---

Sr2N2F | Alexandria | PBE | relaxed; total DFT energy (no corrections) = -5.896 eV/atom; symmetry = C2/c (15); ΔE_f (raw) = -1.518 eV/atom; size of the total moment = 0.00 μB per formula unit
1.0
6.8148 -2.1405 0.0000
6.8148 2.1405 0.0000
-2.0411 0.0000 6.2893
Sr N F
4 4 2
Cartesian
3.1059 1.3766 5.5811
7.4622 1.3766 3.8528
4.1264 -1.3766 2.4365
8.4827 -1.3766 0.7081
2.8002 0.5616 3.0406
1.7796 -0.5616 6.1853
9.8090 0.5616 0.1040
8.7884 -0.5616 3.2486
6.3046 1.8292 1.5723
5.2840 -1.8292 4.7170

---

BeCoCu2 | Alexandria | PBE | relaxed; total DFT energy (no corrections) = -4.711 eV/atom; symmetry = Cm (8); size of the total moment = 1.08 μB per formula unit; ΔE_f = 0.05 eV/atom
1.0
4.3454 -1.2508 0.0000
4.3454 1.2508 0.0000
-1.5682 0.0000 3.9152
Be Co Cu
1 1 2
Cartesian
0.0000 0.0000 0.0000
0.9329 0.0000 3.3758
3.4601 0.0000 2.0061
5.7962 0.0000 1.2984

---

PmSm2Pa2Rh5 | Alexandria | PBE | relaxed; total DFT energy (no corrections) = -7.636 eV/atom; symmetry = P4/mbm (127); size of the total moment = 0.00 μB per formula unit; ΔE_f = -0.64 eV/atom
1.0
10.9867 0.0000 0.0000
0.0000 10.9867 0.0000
0.0000 0.0000 3.6507
Pm Sm Pa Rh
2 4 4 10
Cartesian
0.0000 0.0000 0.0000
5.4933 5.4933 0.0000
1.8965 3.5969 0.0000
3.5969 9.0902 0.0000
7.3898 1.8965 0.0000
9.0902 7.3898 0.0000
1.4809 6.9743 0.0000
4.0124 1.4809 0.0000
6.9743 9.5057 0.0000
9.5057 4.0124 0.0000
0.0000 5.4933 1.8254
0.5249 8.6651 1.8254
2.3216 0.5249 1.8254
3.1717 6.0182 1.8254
4.9685 3.1717 1.8254
5.4933 0.0000 1.8254
6.0182 7.8149 1.8254
7.8149 4.9685 1.8254
8.6651 10.4618 1.8254
10.4618 2.3216 1.8254

---

Fe2B2Pd | Alexandria | PBE | relaxed; total DFT energy (no corrections) = -7.066 eV/atom; symmetry = I4/mmm (139); size of the total moment = 3.88 μB per formula unit; ΔE_f = 0.03 eV/atom
1.0
-1.7200 1.7200 4.2552
1.7200 -1.7200 4.2552
1.7200 1.7200 -4.2552
Fe B Pd
2 2 1
Cartesian
1.7200 0.0000 2.1276
0.0000 1.7200 2.1276
0.0000 0.0000 0.9475
0.0000 0.0000 7.5629
0.0000 0.0000 4.2552

---

TaPbW3 | Alexandria | PBE | relaxed; total DFT energy (no corrections) = -7.729 eV/atom; symmetry = Pm-3m (221); size of the total moment = 0.00 μB per formula unit; ΔE_f = 3.15 eV/atom
1.0
4.8970 0.0000 0.0000
0.0000 4.8970 0.0000
0.0000 0.0000 4.8970
Ta Pb W
1 1 3
Cartesian
0.0000 0.0000 0.0000
2.4485 2.4485 2.4485
0.0000 2.4485 2.4485
2.4485 0.0000 2.4485
2.4485 2.4485 0.0000

---

U2MnRh9 | Alexandria | PBE | relaxed; total DFT energy (no corrections) = -8.639 eV/atom; symmetry = P4/mmm (123); size of the total moment = 3.44 μB per formula unit; ΔE_f = -0.48 eV/atom
1.0
3.9769 0.0000 0.0000
0.0000 3.9769 0.0000
0.0000 0.0000 11.7940
U Mn Rh
2 1 9
Cartesian
0.0000 0.0000 2.0548
0.0000 0.0000 9.7392
0.0000 0.0000 5.8970
0.0000 1.9884 0.0000
0.0000 1.9884 4.0074
0.0000 1.9884 7.7865
1.9884 0.0000 0.0000
1.9884 0.0000 4.0074
1.9884 0.0000 7.7865
1.9884 1.9884 2.0036
1.9884 1.9884 5.8970
1.9884 1.9884 9.7904

---

MnReNi2 | Alexandria | PBE | relaxed; total DFT energy (no corrections) = -8.290 eV/atom; symmetry = I4/mmm (139); size of the total moment = 1.84 μB per formula unit; ΔE_f = 0.00 eV/atom
1.0
-1.7851 1.7851 3.7778
1.7851 -1.7851 3.7778
1.7851 1.7851 -3.7778
Mn Re Ni
1 1 2
Cartesian
0.0000 0.0000 0.0000
0.0000 0.0000 3.7778
1.7851 0.0000 1.8889
0.0000 1.7851 1.8889

---

MnCdCu2 | Alexandria | PBE | relaxed; total DFT energy (no corrections) = -4.361 eV/atom; symmetry = F-43m (216); size of the total moment = 3.81 μB per formula unit; ΔE_f = 0.21 eV/atom
1.0
0.0000 3.0968 3.0968
3.0968 0.0000 3.0968
3.0968 3.0968 0.0000
Mn Cd Cu
1 1 2
Cartesian
0.0000 0.0000 0.0000
4.6452 4.6452 4.6452
1.5484 1.5484 1.5484
3.0968 3.0968 3.0968

---

LiCuW2 | Alexandria | PBE | relaxed; total DFT energy (no corrections) = -7.433 eV/atom; symmetry = P4/mmm (123); size of the total moment = 0.00 μB per formula unit; ΔE_f = 0.55 eV/atom
1.0
2.6059 0.0000 0.0000
0.0000 2.6059 0.0000
0.0000 0.0000 8.7761
Li Cu W
1 1 2
Cartesian
0.0000 0.0000 0.0000
0.0000 0.0000 4.3881
1.3030 1.3030 2.3110
1.3030 1.3030 6.4651

---

NdSmDy2Se4 | Alexandria | PBE | relaxed; total DFT energy (no corrections) = -5.868 eV/atom; symmetry = P2/m (10); ΔE_f (raw) = -1.790 eV/atom; size of the total moment = 0.00 μB per formula unit
1.0
7.1217 0.0000 0.0000
0.0000 4.0775 0.0000
-2.3418 0.0000 6.9059
Nd Sm Dy Se
1 1 2 4
Cartesian
0.0000 0.0000 0.0000
3.5608 2.0388 0.0000
-1.1709 2.0388 3.4529
2.3899 0.0000 3.4529
0.0377 0.0000 5.1016
1.2114 2.0388 1.8153
3.5685 2.0388 5.0905
4.7421 0.0000 1.8043